# 1
Al11Re2 | OQMD | PBE-GGA | relaxed; polymorph energy (0 for the lowest one) = 1.379 eV/f.u.; space group = R-3m
1.0
2.563 1.480 8.908
-2.563 1.480 8.908
0.000 -2.960 8.908
Al Re
11 2
direct
0.000 0.000 0.000 Al
0.096 0.096 0.585 Al
0.096 0.585 0.096 Al
0.166 0.166 0.166 Al
0.415 0.904 0.904 Al
0.455 0.455 0.455 Al
0.545 0.545 0.545 Al
0.585 0.096 0.096 Al
0.834 0.834 0.834 Al
0.904 0.415 0.904 Al
0.904 0.904 0.415 Al
0.361 0.361 0.361 Re
0.639 0.639 0.639 Re



# 2
Al2Re11 | OQMD | PBE-GGA | relaxed; polymorph energy (0 for the lowest one) = 0.000 eV/f.u.; space group = R-3m
1.0
2.557 1.476 8.921
-2.557 1.476 8.921
0.000 -2.953 8.921
Al Re
2 11
direct
0.167 0.167 0.167 Al
0.833 0.833 0.833 Al
0.000 0.000 0.000 Re
0.089 0.089 0.585 Re
0.089 0.585 0.089 Re
0.340 0.340 0.340 Re
0.415 0.911 0.911 Re
0.455 0.455 0.455 Re
0.545 0.545 0.545 Re
0.585 0.089 0.089 Re
0.660 0.660 0.660 Re
0.911 0.415 0.911 Re
0.911 0.911 0.415 Re



# 3
Al7Re5 | OQMD | PBE-GGA | relaxed; polymorph energy (0 for the lowest one) = 1.490 eV/f.u.; space group = P6_3/mmc
1.0
5.065 0.000 0.000
-2.533 4.387 0.000
0.000 0.000 17.683
Al Re
14 10
direct
0.000 0.000 0.083 Al
0.000 0.000 0.417 Al
0.000 0.000 0.583 Al
0.000 0.000 0.917 Al
0.168 0.335 0.250 Al
0.168 0.832 0.250 Al
0.333 0.667 0.637 Al
0.333 0.667 0.863 Al
0.335 0.168 0.750 Al
0.665 0.832 0.250 Al
0.667 0.333 0.137 Al
0.667 0.333 0.363 Al
0.832 0.168 0.750 Al
0.832 0.665 0.750 Al
0.000 0.500 0.000 Re
0.000 0.500 0.500 Re
0.333 0.667 0.129 Re
0.333 0.667 0.371 Re
0.500 0.000 0.000 Re
0.500 0.000 0.500 Re
0.500 0.500 0.000 Re
0.500 0.500 0.500 Re
0.667 0.333 0.629 Re
0.667 0.333 0.871 Re



# 4
Al8Re5 | OQMD | PBE-GGA | relaxed; polymorph energy (0 for the lowest one) = 0.000 eV/f.u.; space group = R-3m
1.0
2.474 1.428 9.030
-2.474 1.428 9.030
0.000 -2.857 9.030
Al Re
8 5
direct
0.089 0.586 0.586 Al
0.151 0.151 0.151 Al
0.414 0.414 0.911 Al
0.414 0.911 0.414 Al
0.586 0.089 0.586 Al
0.586 0.586 0.089 Al
0.849 0.849 0.849 Al
0.911 0.414 0.414 Al
0.045 0.045 0.045 Re
0.333 0.333 0.333 Re
0.500 0.500 0.500 Re
0.667 0.667 0.667 Re
0.955 0.955 0.955 Re



# 5
Al3Re10 | OQMD | PBE-GGA | relaxed; polymorph energy (0 for the lowest one) = 0.000 eV/f.u.; space group = R-3m
1.0
2.558 1.477 8.828
-2.558 1.477 8.828
0.000 -2.954 8.828
Al Re
3 10
direct
0.000 0.000 0.000 Al
0.168 0.168 0.168 Al
0.832 0.832 0.832 Al
0.088 0.088 0.588 Re
0.088 0.588 0.088 Re
0.341 0.341 0.341 Re
0.412 0.912 0.912 Re
0.455 0.455 0.455 Re
0.545 0.545 0.545 Re
0.588 0.088 0.088 Re
0.659 0.659 0.659 Re
0.912 0.412 0.912 Re
0.912 0.912 0.412 Re



# 6
AlRe | OQMD | PBE-GGA | relaxed; space group = P6_3/mmc
1.0
3.924 0.000 0.000
-1.962 3.398 0.000
0.000 0.000 4.969
Al Re
2 2
direct
0.000 0.000 0.000 Al
0.000 0.000 0.500 Al
0.333 0.667 0.250 Re
0.667 0.333 0.750 Re



# 7
AlRe | OQMD | PBE-GGA | relaxed; space group = F-43m
1.0
0.000 2.848 2.848
2.848 0.000 2.848
2.848 2.848 0.000
Al Re
1 1
direct
0.000 0.000 0.000 Al
0.750 0.750 0.750 Re



# 8
Al3Re2 | OQMD | PBE-GGA | relaxed; space group = P4_2/mnm
1.0
9.330 0.000 0.000
0.000 9.330 0.000
0.000 0.000 5.077
Al Re
18 12
direct
0.000 0.000 0.000 Al
0.038 0.362 0.500 Al
0.067 0.264 0.000 Al
0.138 0.538 0.000 Al
0.236 0.567 0.500 Al
0.264 0.067 0.000 Al
0.362 0.038 0.500 Al
0.433 0.764 0.500 Al
0.462 0.862 0.000 Al
0.500 0.500 0.500 Al
0.538 0.138 0.000 Al
0.567 0.236 0.500 Al
0.638 0.962 0.500 Al
0.736 0.933 0.000 Al
0.764 0.433 0.500 Al
0.862 0.462 0.000 Al
0.933 0.736 0.000 Al
0.962 0.638 0.500 Al
0.098 0.098 0.500 Re
0.181 0.819 0.245 Re
0.181 0.819 0.755 Re
0.319 0.319 0.255 Re
0.319 0.319 0.745 Re
0.402 0.598 0.000 Re
0.598 0.402 0.000 Re
0.681 0.681 0.255 Re
0.681 0.681 0.745 Re
0.819 0.181 0.245 Re
0.819 0.181 0.755 Re
0.902 0.902 0.500 Re



# 9
Al2Re | OQMD | PBE-GGA | relaxed; space group = P4_2/mnm
1.0
9.398 0.000 0.000
0.000 9.398 0.000
0.000 0.000 5.131
Al Re
20 10
direct
0.030 0.363 0.000 Al
0.051 0.256 0.500 Al
0.095 0.095 0.000 Al
0.137 0.530 0.500 Al
0.244 0.551 0.000 Al
0.256 0.051 0.500 Al
0.363 0.030 0.000 Al
0.405 0.595 0.500 Al
0.449 0.756 0.000 Al
0.470 0.863 0.500 Al
0.530 0.137 0.500 Al
0.551 0.244 0.000 Al
0.595 0.405 0.500 Al
0.637 0.970 0.000 Al
0.744 0.949 0.500 Al
0.756 0.449 0.000 Al
0.863 0.470 0.500 Al
0.905 0.905 0.000 Al
0.949 0.744 0.500 Al
0.970 0.637 0.000 Al
0.000 0.000 0.500 Re
0.199 0.801 0.243 Re
0.199 0.801 0.757 Re
0.301 0.301 0.257 Re
0.301 0.301 0.743 Re
0.500 0.500 0.000 Re
0.699 0.699 0.257 Re
0.699 0.699 0.743 Re
0.801 0.199 0.243 Re
0.801 0.199 0.757 Re



# 10
AlRe14 | OQMD | PBE-GGA | relaxed; space group = P4_2/mnm
1.0
9.483 0.000 0.000
0.000 9.483 0.000
0.000 0.000 4.986
Al Re
2 28
direct
0.000 0.000 0.000 Al
0.500 0.500 0.500 Al
0.033 0.363 0.500 Re
0.066 0.261 0.000 Re
0.091 0.091 0.500 Re
0.137 0.533 0.000 Re
0.182 0.818 0.250 Re
0.182 0.818 0.750 Re
0.239 0.566 0.500 Re
0.261 0.066 0.000 Re
0.318 0.318 0.250 Re
0.318 0.318 0.750 Re
0.363 0.033 0.500 Re
0.409 0.591 0.000 Re
0.434 0.761 0.500 Re
0.467 0.863 0.000 Re
0.533 0.137 0.000 Re
0.566 0.239 0.500 Re
0.591 0.409 0.000 Re
0.637 0.967 0.500 Re
0.682 0.682 0.250 Re
0.682 0.682 0.750 Re
0.739 0.934 0.000 Re
0.761 0.434 0.500 Re
0.818 0.182 0.250 Re
0.818 0.182 0.750 Re
0.863 0.467 0.000 Re
0.909 0.909 0.500 Re
0.934 0.739 0.000 Re
0.967 0.637 0.500 Re



# 11
AlRe | OQMD | PBE-GGA | relaxed; space group = Pmma
1.0
4.346 0.000 0.000
0.000 2.963 0.000
0.000 0.000 4.519
Al Re
2 2
direct
0.250 0.000 0.181 Al
0.750 0.000 0.819 Al
0.250 0.500 0.675 Re
0.750 0.500 0.325 Re



# 12
AlRe | OQMD | PBE-GGA | relaxed; space group = P6_3/mmc
1.0
5.046 0.000 0.000
-2.523 4.370 0.000
0.000 0.000 15.726
Al Re
12 12
direct
0.000 0.500 0.000 Al
0.000 0.500 0.500 Al
0.162 0.323 0.250 Al
0.162 0.838 0.250 Al
0.323 0.162 0.750 Al
0.500 0.000 0.000 Al
0.500 0.000 0.500 Al
0.500 0.500 0.000 Al
0.500 0.500 0.500 Al
0.677 0.838 0.250 Al
0.838 0.162 0.750 Al
0.838 0.677 0.750 Al
0.000 0.000 0.086 Re
0.000 0.000 0.414 Re
0.000 0.000 0.586 Re
0.000 0.000 0.914 Re
0.333 0.667 0.125 Re
0.333 0.667 0.375 Re
0.333 0.667 0.664 Re
0.333 0.667 0.836 Re
0.667 0.333 0.164 Re
0.667 0.333 0.336 Re
0.667 0.333 0.625 Re
0.667 0.333 0.875 Re



# 13
Al11Re2 | OQMD | PBE-GGA | relaxed; polymorph energy (0 for the lowest one) = 1.096 eV/f.u.; space group = R-3m
1.0
2.620 1.513 8.705
-2.620 1.513 8.705
0.000 -3.025 8.705
Al Re
11 2
direct
0.000 0.000 0.000 Al
0.083 0.083 0.583 Al
0.083 0.583 0.083 Al
0.350 0.350 0.350 Al
0.417 0.917 0.917 Al
0.453 0.453 0.453 Al
0.547 0.547 0.547 Al
0.583 0.083 0.083 Al
0.650 0.650 0.650 Al
0.917 0.417 0.917 Al
0.917 0.917 0.417 Al
0.167 0.167 0.167 Re
0.833 0.833 0.833 Re



# 14
Al4Re9 | OQMD | PBE-GGA | relaxed; polymorph energy (0 for the lowest one) = 0.678 eV/f.u.; space group = R-3m
1.0
2.583 1.491 8.796
-2.583 1.491 8.796
0.000 -2.983 8.796
Al Re
4 9
direct
0.048 0.048 0.048 Al
0.334 0.334 0.334 Al
0.666 0.666 0.666 Al
0.952 0.952 0.952 Al
0.083 0.590 0.590 Re
0.155 0.155 0.155 Re
0.410 0.410 0.917 Re
0.410 0.917 0.410 Re
0.500 0.500 0.500 Re
0.590 0.083 0.590 Re
0.590 0.590 0.083 Re
0.845 0.845 0.845 Re
0.917 0.410 0.410 Re



# 15
Al8Re5 | OQMD | PBE-GGA | relaxed; polymorph energy (0 for the lowest one) = 0.717 eV/f.u.; space group = R-3m
1.0
2.485 1.435 8.973
-2.485 1.435 8.973
0.000 -2.869 8.973
Al Re
8 5
direct
0.094 0.094 0.587 Al
0.094 0.587 0.094 Al
0.166 0.166 0.166 Al
0.413 0.906 0.906 Al
0.587 0.094 0.094 Al
0.834 0.834 0.834 Al
0.906 0.413 0.906 Al
0.906 0.906 0.413 Al
0.000 0.000 0.000 Re
0.352 0.352 0.352 Re
0.453 0.453 0.453 Re
0.547 0.547 0.547 Re
0.648 0.648 0.648 Re



# 16
Al7Re6 | OQMD | PBE-GGA | relaxed; polymorph energy (0 for the lowest one) = 1.171 eV/f.u.; space group = R-3m
1.0
2.459 1.420 8.846
-2.459 1.420 8.846
0.000 -2.840 8.846
Al Re
7 6
direct
0.000 0.000 0.000 Al
0.089 0.089 0.585 Al
0.089 0.585 0.089 Al
0.415 0.911 0.911 Al
0.585 0.089 0.089 Al
0.911 0.415 0.911 Al
0.911 0.911 0.415 Al
0.168 0.168 0.168 Re
0.347 0.347 0.347 Re
0.455 0.455 0.455 Re
0.545 0.545 0.545 Re
0.653 0.653 0.653 Re
0.832 0.832 0.832 Re



# 17
Al2Re11 | OQMD | PBE-GGA | relaxed; polymorph energy (0 for the lowest one) = 2.008 eV/f.u.; space group = R-3m
1.0
2.531 1.461 9.032
-2.531 1.461 9.032
0.000 -2.922 9.032
Al Re
2 11
direct
0.047 0.047 0.047 Al
0.953 0.953 0.953 Al
0.080 0.592 0.592 Re
0.150 0.150 0.150 Re
0.335 0.335 0.335 Re
0.408 0.408 0.920 Re
0.408 0.920 0.408 Re
0.500 0.500 0.500 Re
0.592 0.080 0.592 Re
0.592 0.592 0.080 Re
0.665 0.665 0.665 Re
0.850 0.850 0.850 Re
0.920 0.408 0.408 Re



# 18
AlRe | OQMD | PBE-GGA | relaxed; space group = Fm-3m
1.0
0.000 2.533 2.533
2.533 0.000 2.533
2.533 2.533 0.000
Al Re
1 1
direct
0.000 0.000 0.000 Al
0.500 0.500 0.500 Re



Q: Which energy values were calculated for the entries above? A: -0.181, -0.404, -0.265, -0.261, -0.379, -0.266, -0.220, -0.267, -0.244, -0.434, -0.299, -0.295, -0.182, -0.355, -0.258, -0.282, -0.398, -0.262, in Ha/atom.